# Cs2TlCuHg

An optimized crystal structure of Cs2TlCuHg (PBE, Alexandria via LeMat-Bulk).

Properties
formation energy = 0.3659 eV per atom
polymorph energy (0 for the lowest one) = 0.2744 eV/atom
space-group type = No. 123
magnetic moment = 0.00 Bohr magnetons per cell

The structure in extended XYZ format:
```
5
Lattice="7.343 0.000 0.000 0.000 7.343 0.000 0.000 0.000 5.730" Properties=species:S:1:pos:R:3 pbc="T T T"
Cs 0.000 3.671 0.000
Cs 3.671 0.000 0.000
Tl 0.000 0.000 0.000
Cu 3.671 3.671 2.865
Hg 0.000 0.000 2.865
```